A plane-wave DFT calculation with PBE-GGA was carried out for Eu5Pt2 after structural relaxation.

Fermi-level density of states: 63.83 states/eV/cell
DFT formation energy: -708.1 meV/atom
space-group type: No. 15
total moment: 36.13 μB per formula unit

abc: 9.000 9.000 7.771
angles: 83.09 83.09 44.27
Each line ends with the local moment (μB).
Element x y z (fractional)
Eu1 0.981 0.200 0.579  6.91
Eu2 0.201 0.363 0.817  6.91
Eu3 0.578 0.422 0.250  6.87
Eu4 0.019 0.800 0.421  6.91
Eu5 0.422 0.578 0.750  6.87
Eu6 0.637 0.799 0.683  6.91
Eu7 0.363 0.201 0.317  6.91
Eu8 0.799 0.637 0.183  6.91
Eu9 0.800 0.019 0.921  6.91
Eu10 0.200 0.981 0.079  6.91
Pt1 0.404 0.817 0.419  -0.09
Pt2 0.183 0.596 0.081  -0.09
Pt3 0.596 0.183 0.581  -0.09
Pt4 0.817 0.404 0.919  -0.09